# ZrTaCoGe

A relaxed ZrTaCoGe crystal (PBE, OQMD).

Excess energy over the best structure of this formula in the dataset ... 0 meV/atom
Calculated volume ... 262.0 Å³/cell
Magnetic moment ... 9.18 μB per cell

The structure in CIF format:
```
data_ZrTaCoGe
_cell_length_a 6.3986
_cell_length_b 6.3986
_cell_length_c 6.3986
_cell_angle_alpha 90.00
_cell_angle_beta 90.00
_cell_angle_gamma 90.00
_space_group_name_H-M_alt 'F -4 3 m'
_space_group_IT_number 216
_space_group_name_Hall 'F -4 2 3'
loop_
_atom_site_label
_atom_site_fract_x
_atom_site_fract_y
_atom_site_fract_z
Zr1 0.0000 0.0000 0.0000
Ta1 0.2500 0.2500 0.2500
Co1 0.2500 0.2500 0.7500
Ge1 0.0000 0.0000 0.5000
```

=====

# YHoCS

A relaxed YHoCS crystal (PBE, OQMD).

Energy ... -58.93 eV for the cell shown
Calculated volume ... 152.5 Å³/cell
Magnetic moment ... 0.02 μB per cell

The structure in CIF format:
```
data_YHoCS
_cell_length_a 3.6981
_cell_length_b 3.6981
_cell_length_c 12.8768
_cell_angle_alpha 90.00
_cell_angle_beta 90.00
_cell_angle_gamma 120.00
_space_group_name_H-M_alt 'P 63 m c'
_space_group_IT_number 186
_space_group_name_Hall 'P 6c -2c'
loop_
_atom_site_label
_atom_site_fract_x
_atom_site_fract_y
_atom_site_fract_z
Y1 0.3333 0.6667 0.0000
Ho1 0.3333 0.6667 0.2918
C1 0.0000 0.0000 0.3947
S1 0.3333 0.6667 0.6464
```

=====

# PtW3N

A relaxed PtW3N crystal (PBE, OQMD).

Energy ... -53.71 eV for the cell shown
Calculated volume ... 69.6 Å³/cell
Magnetic moment ... 0.01 μB per cell

The structure in CIF format:
```
data_PtW3N
_cell_length_a 4.1138
_cell_length_b 4.1138
_cell_length_c 4.1138
_cell_angle_alpha 90.00
_cell_angle_beta 90.00
_cell_angle_gamma 90.00
_space_group_name_H-M_alt 'P m -3 m'
_space_group_IT_number 221
_space_group_name_Hall '-P 4 2 3'
loop_
_atom_site_label
_atom_site_fract_x
_atom_site_fract_y
_atom_site_fract_z
Pt1 0.0000 0.0000 0.0000
W1 0.0000 0.5000 0.5000
N1 0.5000 0.5000 0.5000
```

=====

# RbDyPO

A relaxed RbDyPO crystal (PBE, OQMD).

Excess energy over the best structure of this formula in the dataset ... 62 meV/atom
Calculated volume ... 255.9 Å³/cell
Magnetic moment ... 2.00 μB per cell

The structure in CIF format:
```
data_RbDyPO
_cell_length_a 4.7520
_cell_length_b 8.0668
_cell_length_c 6.6749
_cell_angle_alpha 90.00
_cell_angle_beta 90.00
_cell_angle_gamma 90.00
_space_group_name_H-M_alt 'P m c 21'
_space_group_IT_number 26
loop_
_space_group_symop_operation_xyz
'x,y,z'
'-x,-y,z+1/2'
'-x,y,z'
'x,-y,z+1/2'
loop_
_atom_site_label
_atom_site_fract_x
_atom_site_fract_y
_atom_site_fract_z
Rb1 0.0000 0.2033 0.0000
Dy1 0.5000 0.3766 0.5787
P1 0.0000 0.2160 0.4906
O1 0.5000 0.4130 0.8931
```

=====

# TlCuPdPb

A relaxed TlCuPdPb crystal (PBE, OQMD).

Excess energy over the best structure of this formula in the dataset ... 0 meV/atom
Calculated volume ... 326.8 Å³/cell

The structure in CIF format:
```
data_TlCuPdPb
_cell_length_a 6.8883
_cell_length_b 6.8883
_cell_length_c 6.8883
_cell_angle_alpha 90.00
_cell_angle_beta 90.00
_cell_angle_gamma 90.00
_space_group_name_H-M_alt 'F -4 3 m'
_space_group_IT_number 216
_space_group_name_Hall 'F -4 2 3'
loop_
_atom_site_label
_atom_site_fract_x
_atom_site_fract_y
_atom_site_fract_z
Tl1 0.0000 0.0000 0.0000
Cu1 0.2500 0.2500 0.7500
Pd1 0.2500 0.2500 0.2500
Pb1 0.0000 0.0000 0.5000
```

=====

# LaHgAsO

A relaxed LaHgAsO crystal (PBE, OQMD).

Energy ... -40.43 eV for the cell shown
Calculated volume ... 201.4 Å³/cell
Magnetic moment ... 0.00 μB per cell

The structure in CIF format:
```
data_LaHgAsO
_cell_length_a 4.5874
_cell_length_b 6.0759
_cell_length_c 7.2249
_cell_angle_alpha 90.00
_cell_angle_beta 90.00
_cell_angle_gamma 90.00
_space_group_name_H-M_alt 'P m c 21'
_space_group_IT_number 26
loop_
_space_group_symop_operation_xyz
'x,y,z'
'-x,-y,z+1/2'
'-x,y,z'
'x,-y,z+1/2'
loop_
_atom_site_label
_atom_site_fract_x
_atom_site_fract_y
_atom_site_fract_z
La1 0.0000 0.0684 0.0000
Hg1 0.5000 0.4336 0.4121
As1 0.5000 0.2142 0.7163
O1 0.0000 0.1969 0.2891
```

=====

# PmGdAsO

A relaxed PmGdAsO crystal (PBE, OQMD).

Excess energy over the best structure of this formula in the dataset ... 123 meV/atom
Calculated volume ... 172.2 Å³/cell
Magnetic moment ... 0.05 μB per cell

The structure in CIF format:
```
data_PmGdAsO
_cell_length_a 4.3300
_cell_length_b 4.3300
_cell_length_c 9.1841
_cell_angle_alpha 90.00
_cell_angle_beta 90.00
_cell_angle_gamma 90.00
_space_group_name_H-M_alt 'P 4/n m m'
_space_group_IT_number 129
loop_
_space_group_symop_operation_xyz
'x,y,z'
'-x,-y,-z'
'-y+1/2,x,z'
'y+1/2,-x,-z'
'-x+1/2,-y+1/2,z'
'x+1/2,y+1/2,-z'
'y,-x+1/2,z'
'-y,x+1/2,-z'
'x+1/2,-y,-z'
'-x+1/2,y,z'
'-y,-x,-z'
'y,x,z'
'-x,y+1/2,-z'
'x,-y+1/2,z'
'y+1/2,x+1/2,-z'
'-y+1/2,-x+1/2,z'
loop_
_atom_site_label
_atom_site_fract_x
_atom_site_fract_y
_atom_site_fract_z
Pm1 0.2500 0.7500 0.0000
Gd1 0.2500 0.2500 0.3997
As1 0.2500 0.2500 0.7863
O1 0.2500 0.7500 0.5000
```

=====

# LiNdPbS3

A relaxed LiNdPbS3 crystal (PBE, OQMD).

Energy ... -122.50 eV for the cell shown
Calculated volume ... 566.9 Å³/cell
Magnetic moment ... 0.00 μB per cell

The structure in CIF format:
```
data_LiNdPbS3
_cell_length_a 4.0716
_cell_length_b 12.9539
_cell_length_c 10.7476
_cell_angle_alpha 90.00
_cell_angle_beta 90.00
_cell_angle_gamma 90.00
_space_group_name_H-M_alt 'C m c m'
_space_group_IT_number 63
_space_group_name_Hall '-C 2c 2'
loop_
_atom_site_label
_atom_site_fract_x
_atom_site_fract_y
_atom_site_fract_z
Li1 0.0000 0.0212 0.2500
Nd1 0.0000 0.5000 0.0000
Pb1 0.0000 0.2561 0.7500
S1 0.0000 0.1363 0.0767
S2 0.0000 0.4189 0.2500
```

=====

# AgPt2Au

A relaxed AgPt2Au crystal (PBE, OQMD).

Calculated formation energy ... 0.44 eV per formula unit
Calculated volume ... 268.5 Å³/cell
Magnetic moment ... 0.01 μB per cell

The structure in CIF format:
```
data_AgPt2Au
_cell_length_a 6.4515
_cell_length_b 6.4515
_cell_length_c 6.4515
_cell_angle_alpha 90.00
_cell_angle_beta 90.00
_cell_angle_gamma 90.00
_space_group_name_H-M_alt 'F -4 3 m'
_space_group_IT_number 216
_space_group_name_Hall 'F -4 2 3'
loop_
_atom_site_label
_atom_site_fract_x
_atom_site_fract_y
_atom_site_fract_z
Ag1 0.0000 0.0000 0.0000
Pt1 0.0000 0.0000 0.5000
Pt2 0.2500 0.2500 0.7500
Au1 0.2500 0.2500 0.2500
```

=====

# AlAgAsO

A relaxed AlAgAsO crystal (PBE, OQMD).

Excess energy over the best structure of this formula in the dataset ... 877 meV/atom
Calculated volume ... 151.7 Å³/cell

The structure in CIF format:
```
data_AlAgAsO
_cell_length_a 4.1692
_cell_length_b 4.1692
_cell_length_c 8.7246
_cell_angle_alpha 90.00
_cell_angle_beta 90.00
_cell_angle_gamma 90.00
_space_group_name_H-M_alt 'P 4/n m m'
_space_group_IT_number 129
loop_
_space_group_symop_operation_xyz
'x,y,z'
'-x,-y,-z'
'-y+1/2,x,z'
'y+1/2,-x,-z'
'-x+1/2,-y+1/2,z'
'x+1/2,y+1/2,-z'
'y,-x+1/2,z'
'-y,x+1/2,-z'
'x+1/2,-y,-z'
'-x+1/2,y,z'
'-y,-x,-z'
'y,x,z'
'-x,y+1/2,-z'
'x,-y+1/2,z'
'y+1/2,x+1/2,-z'
'-y+1/2,-x+1/2,z'
loop_
_atom_site_label
_atom_site_fract_x
_atom_site_fract_y
_atom_site_fract_z
Al1 0.2500 0.7500 0.0000
Ag1 0.2500 0.2500 0.4414
As1 0.2500 0.2500 0.8290
O1 0.2500 0.7500 0.5000
```

=====

# Gd3Cd3Cu2Pt

A relaxed Gd3Cd3Cu2Pt crystal (PBE, OQMD).

Calculated formation energy ... -4.01 eV per formula unit
Calculated volume ... 194.6 Å³/cell
Magnetic moment ... 0.02 μB per cell

The structure in CIF format:
```
data_Gd3Cd3Cu2Pt
_cell_length_a 7.4868
_cell_length_b 7.4868
_cell_length_c 4.0096
_cell_angle_alpha 90.00
_cell_angle_beta 90.00
_cell_angle_gamma 120.00
_space_group_name_H-M_alt 'P -6 2 m'
_space_group_IT_number 189
_space_group_name_Hall 'P -6 -2'
loop_
_atom_site_label
_atom_site_fract_x
_atom_site_fract_y
_atom_site_fract_z
Gd1 0.0000 0.6006 0.0000
Cd1 0.0000 0.2631 0.5000
Cu1 0.3333 0.6667 0.5000
Pt1 0.0000 0.0000 0.0000
```

=====

# CdFeReSn

A relaxed CdFeReSn crystal (PBE, OQMD).

Excess energy over the best structure of this formula in the dataset ... 0 meV/atom
Calculated volume ... 267.3 Å³/cell
Magnetic moment ... 9.48 μB per cell

The structure in CIF format:
```
data_CdFeReSn
_cell_length_a 6.4413
_cell_length_b 6.4413
_cell_length_c 6.4413
_cell_angle_alpha 90.00
_cell_angle_beta 90.00
_cell_angle_gamma 90.00
_space_group_name_H-M_alt 'F -4 3 m'
_space_group_IT_number 216
_space_group_name_Hall 'F -4 2 3'
loop_
_atom_site_label
_atom_site_fract_x
_atom_site_fract_y
_atom_site_fract_z
Cd1 0.0000 0.0000 0.0000
Fe1 0.2500 0.2500 0.7500
Re1 0.2500 0.2500 0.2500
Sn1 0.0000 0.0000 0.5000
```

=====

What did the second record say?
# YHoCS

A relaxed YHoCS crystal (PBE, OQMD).

Energy ... -58.93 eV for the cell shown
Calculated volume ... 152.5 Å³/cell
Magnetic moment ... 0.02 μB per cell

The structure in CIF format:
```
data_YHoCS
_cell_length_a 3.6981
_cell_length_b 3.6981
_cell_length_c 12.8768
_cell_angle_alpha 90.00
_cell_angle_beta 90.00
_cell_angle_gamma 120.00
_space_group_name_H-M_alt 'P 63 m c'
_space_group_IT_number 186
_space_group_name_Hall 'P 6c -2c'
loop_
_atom_site_label
_atom_site_fract_x
_atom_site_fract_y
_atom_site_fract_z
Y1 0.3333 0.6667 0.0000
Ho1 0.3333 0.6667 0.2918
C1 0.0000 0.0000 0.3947
S1 0.3333 0.6667 0.6464
```